(1)
# CuAs2PbO6

A geometry-optimized CuAs2PbO6 structure (PBE, the Alexandria database).

Structure (extended XYZ):
```
20
Lattice="6.784 0.287 0.298 2.493 6.787 0.596 2.493 0.344 6.804" Properties=species:S:1:pos:R:3 pbc="T T T"
O 3.740 5.191 4.600
O 7.132 4.548 5.507
O 2.298 4.142 1.407
O 5.643 6.892 6.047
O 8.029 2.227 3.098
O 6.080 6.022 3.358
O 9.472 3.276 6.292
O 9.035 5.931 7.260
O 2.735 1.487 0.438
O 6.126 0.526 1.651
O 4.637 2.870 2.191
O 5.690 1.396 4.341
As 5.691 5.508 4.980
As 6.079 1.910 2.718
As 2.687 2.502 1.860
As 9.083 4.916 5.838
Cu 7.581 5.424 2.340
Cu 4.189 1.994 5.358
Pb 7.581 1.535 6.087
Pb 4.189 5.883 1.611
```

## Properties
* total magnetization: 0.0 μB per cell
* raw formation energy: -9.93 eV per formula unit
* DOS at the Fermi energy: 2.311 states/eV/f.u.

=====

(2)
# CuAsPbO5

A geometry-optimized CuAsPbO5 structure (PBE, the Alexandria database).

Structure (extended XYZ):
```
32
Lattice="6.096 0.000 0.000 0.000 8.584 0.000 0.000 0.000 8.877" Properties=species:S:1:pos:R:3 pbc="T T T"
Cu 1.459 6.543 0.066
Cu 4.636 2.252 4.372
Cu 1.589 2.040 4.504
Cu 4.507 6.332 8.811
O 0.453 2.321 0.736
O 3.038 2.973 3.839
O 5.981 8.197 0.986
O 2.933 4.678 7.891
O 6.086 1.319 5.038
O 3.058 7.265 0.600
O 1.654 2.998 6.152
O 4.442 7.290 7.163
O 4.584 3.286 5.978
O 4.702 1.294 2.725
O 4.560 5.297 1.540
O 0.010 5.611 8.277
O 1.394 5.586 1.714
O 3.163 0.387 5.424
O 2.595 6.263 5.174
O 3.501 1.971 8.141
O 0.115 3.905 3.453
O 5.643 6.613 3.702
O 1.512 7.578 7.337
O 1.536 1.005 2.899
Pb 5.749 1.003 7.434
Pb 0.347 5.295 5.881
Pb 3.395 7.580 2.996
Pb 2.701 3.288 1.442
As 3.171 3.236 7.021
As 0.123 1.056 1.856
As 2.925 7.527 6.294
As 5.973 5.348 2.582
```

## Properties
* total magnetization: 0.0 μB per cell
* raw formation energy: -7.87 eV per formula unit
* DOS at the Fermi energy: 0.360 states/eV/f.u.

=====

(3)
# Cu2AsPbO6

A geometry-optimized Cu2AsPbO6 structure (PBE, the Alexandria database).

Structure (extended XYZ):
```
20
Lattice="7.165 0.267 0.277 2.607 6.506 1.571 2.607 1.329 6.560" Properties=species:S:1:pos:R:3 pbc="T T T"
O 9.215 4.548 3.010
O 3.164 3.553 5.398
O 6.098 0.784 1.262
O 9.863 7.003 7.716
O 7.717 2.361 2.921
O 6.281 7.318 7.146
O 8.244 5.403 6.078
O 4.662 5.740 5.486
O 2.516 1.098 0.692
O 5.633 2.706 4.518
O 4.135 2.698 2.330
O 6.746 5.396 3.889
Cu 2.283 2.476 1.998
Cu 10.096 5.625 6.409
Cu 5.865 2.038 2.687
Cu 6.514 6.063 5.721
As 4.398 2.373 5.687
As 7.981 5.728 2.721
Pb 4.398 4.998 3.157
Pb 7.981 3.103 5.250
```

## Properties
* total magnetization: 0.0 μB per cell
* raw formation energy: -7.95 eV per formula unit
* DOS at the Fermi energy: 4.092 states/eV/f.u.

=====

Question: raw formation energy of number 3 (Cu2AsPbO6)?
Answer: -7.95 eV per formula unit